# 1
DFT (PBE) results for a geometry-optimized La8CdGa3I4 structure.

Cell: 9.0843 9.0843 22.7618 Å, 90.00 90.00 120.00°
Space group R-3m (No. 166, hexagonal axes)
One atom of each set of equivalent atoms:
La: 0.0000 0.0000 0.2374 (multiplicity 6)
La: 0.0125 0.5062 0.7586 (multiplicity 18)
Cd: 0.0000 0.0000 0.5000 (multiplicity 3)
Ga: 0.0000 0.5000 0.5000 (multiplicity 9)
I: 0.0000 0.0000 0.0000 (multiplicity 3)
I: 0.0000 0.5000 0.0000 (multiplicity 9)

Results
Volume, Å³ per cell: 1627
D(E_F), states/eV/cell: 43.8
Formation energy from raw total energies, eV/atom: -0.757

# 2
DFT (PBE) results for a geometry-optimized CdGaI2N structure.

Cell: 5.908 5.908 3.696 Å, 90.00 90.00 90.00°
Space group P4/mmm (No. 123)
One atom of each set of equivalent atoms:
Cd: 0.000 0.000 0.000 (multiplicity 1)
Ga: 0.500 0.500 0.500 (multiplicity 1)
I: 0.000 0.500 0.500 (multiplicity 2)
N: 0.500 0.500 0.000 (multiplicity 1)

Results
Volume, Å³ per cell: 129
D(E_F), states/eV/cell: 3.5
Formation energy from raw total energies, eV/atom: 0.401

# 3
DFT (PBE) results for a geometry-optimized CdGaI2N structure.

Cell: 6.138 6.138 4.351 Å, 90.00 90.00 90.00°
Space group P4/mmm (No. 123)
One atom of each set of equivalent atoms:
Cd: 0.000 0.000 0.000 (multiplicity 1)
Ga: 0.500 0.500 0.500 (multiplicity 1)
I: 0.000 0.500 0.000 (multiplicity 2)
N: 0.000 0.000 0.500 (multiplicity 1)

Results
Volume, Å³ per cell: 164
D(E_F), states/eV/cell: 0.2
Formation energy from raw total energies, eV/atom: 0.492

# 4
DFT (PBE) results for a geometry-optimized NbCd2GaI structure.

Cell: 5.929 5.929 5.266 Å, 90.00 90.00 90.00°
Space group P4/mmm (No. 123)
One atom of each set of equivalent atoms:
Nb: 0.000 0.000 0.000 (multiplicity 1)
Cd: 0.000 0.500 0.500 (multiplicity 2)
Ga: 0.500 0.500 0.000 (multiplicity 1)
I: 0.000 0.000 0.500 (multiplicity 1)

Results
Volume, Å³ per cell: 185
D(E_F), states/eV/cell: 5.7
Formation energy from raw total energies, eV/atom: 1.273

# 5
DFT (PBE) results for a geometry-optimized Cd2GaIO6 structure.

Cell: 5.343 5.343 5.121 Å, 90.00 90.00 90.00°
Space group P4mm (No. 99)
One atom of each set of equivalent atoms:
Cd: 0.000 0.500 0.000 (multiplicity 2)
Ga: 0.000 0.000 0.553 (multiplicity 1)
I: 0.500 0.500 0.643 (multiplicity 1)
O: 0.000 0.000 0.198 (multiplicity 1)
O: 0.241 0.241 0.711 (multiplicity 4)
O: 0.500 0.500 0.029 (multiplicity 1)

Results
Volume, Å³ per cell: 146
Formation energy from raw total energies, eV/atom: -0.756

# 6
DFT (PBE) results for a geometry-optimized CdGa2IO8 structure.

Cell: 4.662 6.400 4.675 Å, 90.00 91.11 90.00°
Space group P2/m (No. 10)
One atom of each set of equivalent atoms:
Cd: 0.000 0.000 0.000 (multiplicity 1)
Ga: 0.500 0.250 0.500 (multiplicity 2)
I: 0.000 0.500 0.000 (multiplicity 1)
O: 0.198 0.284 0.807 (multiplicity 4)
O: 0.296 0.500 0.301 (multiplicity 2)
O: 0.325 0.000 0.329 (multiplicity 2)

Results
Volume, Å³ per cell: 139
D(E_F), states/eV/cell: 4.3
Formation energy from raw total energies, eV/atom: -0.880

# 7
DFT (PBE) results for a geometry-optimized CdGa2PtI structure.

Cell: 4.905 4.905 5.468 Å, 90.00 90.00 90.00°
Space group P4/mmm (No. 123)
One atom of each set of equivalent atoms:
Cd: 0.000 0.000 0.000 (multiplicity 1)
Ga: 0.000 0.500 0.500 (multiplicity 2)
Pt: 0.000 0.000 0.500 (multiplicity 1)
I: 0.500 0.500 0.000 (multiplicity 1)

Results
Volume, Å³ per cell: 132
D(E_F), states/eV/cell: 2.5
Formation energy from raw total energies, eV/atom: -0.358

# 8
DFT (PBE) results for a geometry-optimized RbCd2GaI structure.

Cell: 5.188 5.188 7.359 Å, 90.00 90.00 90.00°
Space group P4/mmm (No. 123)
One atom of each set of equivalent atoms:
Rb: 0.000 0.000 0.000 (multiplicity 1)
Cd: 0.000 0.500 0.500 (multiplicity 2)
Ga: 0.000 0.000 0.500 (multiplicity 1)
I: 0.500 0.500 0.000 (multiplicity 1)

Results
Volume, Å³ per cell: 198
D(E_F), states/eV/cell: 2.2
Formation energy from raw total energies, eV/atom: -0.233

# 9
DFT (PBE) results for a geometry-optimized RbCdGaI4 structure.

Cell: 8.102 8.394 9.939 Å, 90.00 107.06 90.00°
Space group P2_1/m (No. 11)
One atom of each set of equivalent atoms:
Rb: 0.227 0.250 0.040 (multiplicity 2)
Cd: 0.246 0.750 0.325 (multiplicity 2)
Ga: 0.214 0.250 0.520 (multiplicity 2)
I: 0.010 0.010 0.276 (multiplicity 4)
I: 0.410 0.750 0.114 (multiplicity 2)
I: 0.469 0.750 0.601 (multiplicity 2)

Results
Volume, Å³ per cell: 646
D(E_F), states/eV/cell: 0.0
Formation energy from raw total energies, eV/atom: -0.767

# 10
DFT (PBE) results for a geometry-optimized CdGaSb2I structure.

Cell: 5.498 5.498 6.296 Å, 90.00 90.00 90.00°
Space group P4/mmm (No. 123)
One atom of each set of equivalent atoms:
Cd: 0.000 0.000 0.000 (multiplicity 1)
Ga: 0.500 0.500 0.500 (multiplicity 1)
Sb: 0.000 0.500 0.000 (multiplicity 2)
I: 0.000 0.000 0.500 (multiplicity 1)

Results
Volume, Å³ per cell: 190
D(E_F), states/eV/cell: 5.0
Formation energy from raw total energies, eV/atom: 0.517

# 11
DFT (PBE) results for a geometry-optimized CdGaSb2I structure.

Cell: 5.421 5.421 5.654 Å, 90.00 90.00 90.00°
Space group P4/mmm (No. 123)
One atom of each set of equivalent atoms:
Cd: 0.000 0.000 0.000 (multiplicity 1)
Ga: 0.500 0.500 0.500 (multiplicity 1)
Sb: 0.000 0.500 0.500 (multiplicity 2)
I: 0.500 0.500 0.000 (multiplicity 1)

Results
Volume, Å³ per cell: 166
D(E_F), states/eV/cell: 4.7
Formation energy from raw total energies, eV/atom: 0.449

# 12
DFT (PBE) results for a geometry-optimized Cd2GaSnI structure.

Cell: 5.629 5.629 5.565 Å, 90.00 90.00 90.00°
Space group P4/mmm (No. 123)
One atom of each set of equivalent atoms:
Cd: 0.000 0.500 0.000 (multiplicity 2)
Ga: 0.000 0.000 0.500 (multiplicity 1)
Sn: 0.000 0.000 0.000 (multiplicity 1)
I: 0.500 0.500 0.500 (multiplicity 1)

Results
Volume, Å³ per cell: 176
D(E_F), states/eV/cell: 1.7
Formation energy from raw total energies, eV/atom: 0.077

# 13
DFT (PBE) results for a geometry-optimized Cd2GaTcI structure.

Cell: 5.767 5.767 4.878 Å, 90.00 90.00 90.00°
Space group P4/mmm (No. 123)
One atom of each set of equivalent atoms:
Cd: 0.000 0.500 0.000 (multiplicity 2)
Ga: 0.000 0.000 0.500 (multiplicity 1)
Tc: 0.500 0.500 0.500 (multiplicity 1)
I: 0.500 0.500 0.000 (multiplicity 1)

Results
Volume, Å³ per cell: 162
D(E_F), states/eV/cell: 4.5
Formation energy from raw total energies, eV/atom: 1.354

# 14
DFT (PBE) results for a geometry-optimized CdGaTeI2 structure.

Cell: 5.587 5.587 5.600 Å, 90.00 90.00 90.00°
Space group P4/mmm (No. 123)
One atom of each set of equivalent atoms:
Cd: 0.000 0.000 0.000 (multiplicity 1)
Ga: 0.500 0.500 0.500 (multiplicity 1)
Te: 0.500 0.500 0.000 (multiplicity 1)
I: 0.000 0.500 0.500 (multiplicity 2)

Results
Volume, Å³ per cell: 175
D(E_F), states/eV/cell: 2.1
Formation energy from raw total energies, eV/atom: 0.056

# 15
DFT (PBE) results for a geometry-optimized CdGaTeI2 structure.

Cell: 5.936 5.936 5.653 Å, 90.00 90.00 90.00°
Space group P4/mmm (No. 123)
One atom of each set of equivalent atoms:
Cd: 0.000 0.000 0.000 (multiplicity 1)
Ga: 0.500 0.500 0.500 (multiplicity 1)
Te: 0.000 0.000 0.500 (multiplicity 1)
I: 0.000 0.500 0.000 (multiplicity 2)

Results
Volume, Å³ per cell: 199
D(E_F), states/eV/cell: 3.7
Formation energy from raw total energies, eV/atom: 0.014

# 16
DFT (PBE) results for a geometry-optimized TlCdGaI4 structure.

Cell: 7.918 8.427 9.367 Å, 90.00 106.63 90.00°
Space group P2_1/m (No. 11)
One atom of each set of equivalent atoms:
Tl: 0.208 0.250 0.049 (multiplicity 2)
Cd: 0.238 0.750 0.318 (multiplicity 2)
Ga: 0.232 0.250 0.556 (multiplicity 2)
I: 0.003 0.507 0.740 (multiplicity 4)
I: 0.454 0.750 0.127 (multiplicity 2)
I: 0.464 0.750 0.610 (multiplicity 2)

Results
Volume, Å³ per cell: 599
D(E_F), states/eV/cell: 0.0
Formation energy from raw total energies, eV/atom: -0.516

# 17
DFT (PBE) results for a geometry-optimized TlCd2GaI structure.

Cell: 5.220 5.220 5.901 Å, 90.00 90.00 90.00°
Space group P4/mmm (No. 123)
One atom of each set of equivalent atoms:
Tl: 0.000 0.000 0.000 (multiplicity 1)
Cd: 0.000 0.500 0.500 (multiplicity 2)
Ga: 0.000 0.000 0.500 (multiplicity 1)
I: 0.500 0.500 0.000 (multiplicity 1)

Results
Volume, Å³ per cell: 161
D(E_F), states/eV/cell: 1.6
Formation energy from raw total energies, eV/atom: -0.066

# 18
DFT (PBE) results for a geometry-optimized YCdGaI2 structure.

Cell: 5.994 5.994 6.020 Å, 90.00 90.00 90.00°
Space group P4/mmm (No. 123)
One atom of each set of equivalent atoms:
Y: 0.000 0.000 0.000 (multiplicity 1)
Cd: 0.500 0.500 0.500 (multiplicity 1)
Ga: 0.000 0.000 0.500 (multiplicity 1)
I: 0.000 0.500 0.000 (multiplicity 2)

Results
Volume, Å³ per cell: 216
D(E_F), states/eV/cell: 3.1
Formation energy from raw total energies, eV/atom: -0.302

# 19
DFT (PBE) results for a geometry-optimized CdInGa structure.

Cell: 9.638 9.638 3.074 Å, 90.00 90.00 90.00°
Space group P4_2/m (No. 84)
One atom of each set of equivalent atoms:
Cd: 0.086 0.808 0.000 (multiplicity 4)
In: 0.118 0.398 0.500 (multiplicity 4)
Ga: 0.342 0.611 0.500 (multiplicity 4)

Results
Volume, Å³ per cell: 286
E_tot, eV per cell: -25.8
D(E_F), states/eV/cell: 3.0

# 20
DFT (PBE) results for a geometry-optimized Cd4In4Ga structure.

Cell: 9.694 9.694 4.655 Å, 90.00 90.00 90.00°
Space group I4/mmm (No. 139)
One atom of each set of equivalent atoms:
Cd: 0.000 0.337 0.000 (multiplicity 8)
In: 0.165 0.165 0.500 (multiplicity 8)
Ga: 0.000 0.000 0.000 (multiplicity 2)

Results
Volume, Å³ per cell: 437
E_tot, eV per cell: -34.6
D(E_F), states/eV/cell: 7.9